(1)
InAg2Br2 | PBE | optimized geometry

a b c (Å): 7.8818 7.8818 4.1173
angles (deg): 90.00 90.00 90.00
Last column: nearest neighbours and their distance in Å.
Fractional positions:
In 0.0000 0.0000 0.0000  4 Ag 3.11
In 0.5000 0.5000 0.0000  4 Ag 3.11
Br 0.3174 0.1826 0.5000  6 Ag 2.96-3.22
Br 0.1826 0.6826 0.5000  6 Ag 2.96-3.22
Br 0.8174 0.3174 0.5000  6 Ag 2.96-3.22
Br 0.6826 0.8174 0.5000  6 Ag 2.96-3.22
Ag 0.8734 0.6266 0.0000  1 Ag 2.82, 2 Br 2.96, 2 In 3.11
Ag 0.1266 0.3734 0.0000  1 Ag 2.82, 2 Br 2.96, 2 In 3.11
Ag 0.6266 0.1266 0.0000  1 Ag 2.82, 2 Br 2.96, 2 In 3.11
Ag 0.3734 0.8734 0.0000  1 Ag 2.82, 2 Br 2.96, 2 In 3.11

Results
* space group: P4/mbm (127)
* formation energy (no corrections): -70 meV per atom
* polymorph energy (0 for the lowest one): 0.016 eV per atom

(2)
BaLi2Ga2Ge2 | PBE | optimized geometry

a b c (Å): 4.3927 4.3844 9.2171
angles (deg): 103.79 90.00 120.06
Last column: nearest neighbours and their distance in Å.
Fractional positions:
Li 0.1463 0.2925 0.4390  3 Ga 2.66, 3 Li 2.75-2.76, 1 Ge 2.76
Li 0.8537 0.7075 0.5610  3 Ga 2.66, 3 Li 2.75-2.76, 1 Ge 2.76
Ge 0.2499 0.4998 0.7502  3 Ga 2.67-2.68, 1 Li 2.76
Ge 0.7501 0.5002 0.2498  3 Ga 2.67-2.68, 1 Li 2.76
Ga 0.4493 0.8985 0.3473  3 Li 2.66, 3 Ge 2.67-2.68, 1 Ga 2.71
Ga 0.5507 0.1015 0.6527  3 Li 2.66, 3 Ge 2.67-2.68, 1 Ga 2.71
Ba 0.0000 0.0000 0.0000  6 Ge 3.36

Results
* energy relative to the elements: -0.4475 eV/atom
* space group: C2/m (12)

(3)
ErBC | PBE | optimized geometry

a b c (Å): 3.3884 3.4646 7.4082
angles (deg): 98.08 90.00 119.28
Last column: nearest neighbours and their distance in Å.
Fractional positions:
Er 0.9460 0.8920 0.2451  3 C 2.35-2.49
Er 0.0540 0.1080 0.7549  3 C 2.35-2.49
C 0.5974 0.1949 0.0511  1 C 1.29
C 0.4026 0.8051 0.9489  1 C 1.29
B 0.6688 0.3377 0.5043  3 B 1.96-2.03
B 0.3312 0.6623 0.4957  3 B 1.96-2.03

Results
* energy relative to the elements: -0.2987 eV/atom
* space group: C2/m (12)
* polymorph energy (0 for the lowest one): 0.151 eV per atom

(4)
NbHgP2S | PBE | optimized geometry

a b c (Å): 4.9237 4.9237 4.7444
angles (deg): 90.00 90.00 90.00
Last column: nearest neighbours and their distance in Å.
Fractional positions:
Hg 0.5000 0.5000 0.5000  8 P 3.42, 4 S 3.48
S 0.0000 0.0000 0.5000  2 Nb 2.37
P 0.5000 0.0000 0.0000  2 Nb 2.46
P 0.0000 0.5000 0.0000  2 Nb 2.46
Nb 0.0000 0.0000 0.0000  2 S 2.37, 4 P 2.46

Results
* space group: P4/mmm (123)
* formation energy (no corrections): 194 meV per atom
* polymorph energy (0 for the lowest one): 0.000 eV per atom

(5)
CsNdMgS3 | PBE | optimized geometry

a b c (Å): 4.2517 9.4914 10.1592
angles (deg): 108.88 90.00 90.00
Last column: nearest neighbours and their distance in Å.
Fractional positions:
Nd 0.2500 0.6656 0.1377  6 S 2.78-3.08
Nd 0.7500 0.3344 0.8623  6 S 2.78-3.08
S 0.7500 0.1809 0.5446  3 Mg 2.48-2.49
S 0.7500 0.4697 0.1489  3 Nd 2.78-2.85
S 0.2500 0.1285 0.8556  1 Mg 2.41
S 0.7500 0.8715 0.1444  1 Mg 2.41
S 0.2500 0.5303 0.8511  3 Nd 2.78-2.85
S 0.2500 0.8191 0.4554  3 Mg 2.48-2.49
Mg 0.2500 0.0842 0.6086  4 S 2.41-2.49
Mg 0.7500 0.9158 0.3914  4 S 2.41-2.49
Cs 0.7500 0.7930 0.7697  7 S 3.57-3.91
Cs 0.2500 0.2070 0.2303  7 S 3.57-3.91

Results
* space group: P2_1/m (11)
* formation energy (no corrections): -1663 meV per atom

(6)
Ac2NdZn3Pt4 | PBE | optimized geometry

a b c (Å): 4.4742 4.4742 11.3330
angles (deg): 90.00 90.00 90.00
Last column: nearest neighbours and their distance in Å.
Fractional positions:
Zn 0.0000 0.5000 0.1117  5 Pt 2.57
Zn 0.0000 0.0000 0.5000  4 Pt 2.89, 4 Nd 3.16
Zn 0.5000 0.0000 0.8883  5 Pt 2.57
Pt 0.5000 0.0000 0.6616  1 Zn 2.57
Pt 0.5000 0.5000 0.0000  4 Zn 2.57
Pt 0.0000 0.0000 0.0000  4 Zn 2.57
Pt 0.0000 0.5000 0.3384  1 Zn 2.57
Nd 0.5000 0.5000 0.5000  4 Pt 2.89, 4 Zn 3.16
Ac 0.0000 0.5000 0.7840  8 Pt 3.32-3.45, 5 Zn 3.38-3.71
Ac 0.5000 0.0000 0.2160  8 Pt 3.32-3.45, 5 Zn 3.38-3.71

Results
* energy relative to the elements: -0.8140 eV/atom
* space group: P-4m2 (115)

(7)
Sm8Hg2Os | PBE | optimized geometry

a b c (Å): 5.3167 7.0210 9.4326
angles (deg): 106.80 106.37 90.00
Last column: nearest neighbours and their distance in Å.
Fractional positions:
Os 0.5000 0.0000 0.0000  8 Sm 2.88-3.12
Sm 0.5884 0.4292 0.1767  1 Os 2.96
Sm 0.9778 0.2096 0.9557  1 Hg 3.10, 2 Os 3.12, 3 Sm 3.28-3.40
Sm 0.1994 0.3040 0.3988  1 Hg 3.03
Sm 0.3461 0.0379 0.6923  1 Os 2.88, 1 Hg 3.12
Sm 0.6539 0.9621 0.3077  1 Os 2.88, 1 Hg 3.12
Sm 0.0222 0.7904 0.0443  1 Hg 3.10, 2 Os 3.12, 3 Sm 3.28-3.40
Sm 0.8006 0.6960 0.6012  1 Hg 3.03
Sm 0.4116 0.5708 0.8233  1 Os 2.96
Hg 0.1832 0.7204 0.3663  5 Sm 3.03-3.28
Hg 0.8168 0.2796 0.6337  5 Sm 3.03-3.28

Results
* energy relative to the elements: -0.2022 eV/atom
* space group: C2/m (12)
* polymorph energy (0 for the lowest one): 0.000 eV per atom

(8)
Tc2Ir | PBE | optimized geometry

a b c (Å): 2.7382 5.1872 6.5061
angles (deg): 76.99 90.00 74.70
Last column: nearest neighbours and their distance in Å.
Fractional positions:
Ir 0.6683 0.6634 0.3326  9 Tc 2.71-2.77, 3 Ir 2.74
Ir 0.6095 0.7811 0.7229  9 Tc 2.71-2.77, 3 Ir 2.74
Tc 0.2775 0.4451 0.0518  8 Tc 2.67-2.78, 4 Ir 2.71-2.76
Tc 0.3320 0.3359 0.6693  7 Tc 2.67-2.78, 5 Ir 2.71-2.77
Tc 0.9458 0.1085 0.3862  7 Tc 2.67-2.78, 5 Ir 2.71-2.77
Tc 0.0003 0.9994 0.0038  8 Tc 2.67-2.78, 4 Ir 2.71-2.76

Results
* energy relative to the elements: -0.2095 eV/atom
* space group: C2/m (12)
* polymorph energy (0 for the lowest one): 0.003 eV per atom